Computed, not measured: an optimized crystal structure of ZrCuW2 at the PBE level of DFT.

Cell lengths 4.4156, 2.7373, 5.7306 Å; angles 77.21, 90.00, 90.00 degrees
Closest atoms and distances in Å follow each position.
Sites, in units of the cell vectors:
W1 0.5000 0.2236 0.2228  4 W 2.63-2.74, 1 Cu 2.75, 2 Zr 2.90
Zr1 0.0000 0.4732 0.5045  2 Zr 2.74, 4 Cu 2.88-3.06, 4 W 2.88-2.90
Cu1 0.5000 0.7823 0.7601  2 Cu 2.74, 4 W 2.75-3.05, 4 Zr 2.88-3.06
W2 0.0000 0.0209 0.0126  4 W 2.63-2.74, 2 Cu 2.80, 2 Zr 2.88-2.90

- calculated volume (Å³/cell) = 67.5
- crystal system = monoclinic
- distance to the lowest polymorph of the same formula (meV/atom) = 126
- total DFT energy (no corrections) (eV/atom) = -9.3884
- energy of formation (eV/atom) = 0.249


Computed, not measured: an optimized crystal structure of Ba2LiZnAu6 at the PBE level of DFT.

Cell lengths 7.0998, 7.0997, 7.0332 Å; angles 60.32, 60.32, 90.85 degrees
Closest atoms and distances in Å follow each position.
Sites, in units of the cell vectors:
Li1 0.0000 0.0000 0.0000  6 Au 2.47-2.49
Ba1 0.2838 0.7160 0.5001  12 Au 3.53-3.66
Au1 0.2020 0.2018 0.0879  1 Li 2.49, 1 Zn 2.57
Au2 0.2029 0.2027 0.5080  1 Li 2.49, 1 Zn 2.57
Zn1 0.5000 0.5000 0.0000  6 Au 2.57-2.59
Au3 0.7971 0.7973 0.4920  1 Li 2.49, 1 Zn 2.57
Ba2 0.7162 0.2840 0.4999  12 Au 3.53-3.66
Au4 0.7557 0.2440 0.0002  1 Li 2.47, 1 Zn 2.59
Au5 0.7980 0.7982 0.9121  1 Li 2.49, 1 Zn 2.57
Au6 0.2443 0.7560 0.9998  1 Li 2.47, 1 Zn 2.59

- calculated volume (Å³/cell) = 251.2
- crystal system = orthorhombic
- total DFT energy (no corrections) (eV/atom) = -3.1386
- energy of formation (eV/atom) = -0.469


> What is the total DFT energy (no corrections) in the second record?

-3.1386 eV/atom